Compound: Te2RuBrN
Source: the Alexandria database
Functional: GGA-PBE
Structure: relaxed

Cell lengths 5.5764, 5.5764, 3.6435 Å; angles 90.00, 90.00, 90.00 degrees
Sites, in units of the cell vectors:
N: 0.0000 0.0000 0.5000
Ru: 0.0000 0.0000 0.0000
Te: 0.5000 0.0000 0.0000
Te: 0.0000 0.5000 0.0000
Br: 0.5000 0.5000 0.5000

As for the total energy: -4.74 eV per atom. The size of the total moment comes out at 0.000 μB/atom. The raw formation energy comes out at 0.37 eV/atom. As for the calculated density: 6.598 g/cm³. As for the energy above the most stable polymorph in this dataset: 0 meV per atom.

---

Compound: Sc12Cd4AgO3
Source: the Alexandria database
Functional: GGA-PBE
Structure: relaxed

Cell lengths 8.0317, 8.0317, 8.0317 Å; angles 109.47, 109.47, 109.47 degrees
Sites, in units of the cell vectors:
Sc: 0.7254 0.7254 0.0000
Sc: 0.2500 0.7500 0.5000
Sc: 0.0000 0.7254 0.7254
Sc: 0.7500 0.2500 0.5000
Sc: 0.5000 0.7500 0.2500
Sc: 0.7254 0.0000 0.7254
Sc: 0.2746 0.2746 0.0000
Sc: 0.5000 0.2500 0.7500
Sc: 0.7500 0.5000 0.2500
Sc: 0.2500 0.5000 0.7500
Sc: 0.0000 0.2746 0.2746
Sc: 0.2746 0.0000 0.2746
Cd: 0.5000 0.5000 0.5000
Cd: 0.5000 0.0000 0.0000
Cd: 0.0000 0.5000 0.0000
Cd: 0.0000 0.0000 0.5000
O: 0.0000 0.5000 0.5000
O: 0.5000 0.0000 0.5000
O: 0.5000 0.5000 0.0000
Ag: 0.0000 0.0000 0.0000

As for the total energy: -5.78 eV per atom. The size of the total moment comes out at 0.000 μB/atom. The raw formation energy comes out at -0.91 eV/atom. As for the calculated density: 4.767 g/cm³.